Here is a relaxed PrNd2Y3P6 crystal from the Alexandria database. Energies are from PBE.

abc: 7.0992 7.0992 7.0943
angles: 99.59 99.59 119.99
With the nearest neighbours (Å) after each atom.
Element x y z (fractional)
Pr 0.0000 0.0000 0.0000  6 P 2.94
Nd 0.3333 0.6667 0.0000  6 P 2.93
Nd 0.6667 0.3333 0.0000  6 P 2.93
Y 0.1665 0.8335 0.5000  6 P 2.86
Y 0.5000 0.5000 0.5000  6 P 2.85-2.86
Y 0.8335 0.1665 0.5000  6 P 2.86
P 0.0865 0.4210 0.2596  3 Y 2.86, 2 Nd 2.93, 1 Pr 2.94
P 0.2479 0.2479 0.7404  3 Y 2.85-2.86, 2 Nd 2.93, 1 Pr 2.94
P 0.4210 0.0865 0.2596  3 Y 2.86, 2 Nd 2.93, 1 Pr 2.94
P 0.5790 0.9135 0.7404  3 Y 2.86, 2 Nd 2.93, 1 Pr 2.94
P 0.7521 0.7521 0.2596  3 Y 2.85-2.86, 2 Nd 2.93, 1 Pr 2.94
P 0.9135 0.5790 0.7404  3 Y 2.86, 2 Nd 2.93, 1 Pr 2.94

Output
The value obtained for the formation energy is -1.572 eV per atom. The size of the total moment is 0.000 μB per atom.

Here is a relaxed NdP2Pt8 crystal from the Alexandria database. Energies are from PBE.

abc: 5.4537 5.4537 8.4900
angles: 108.58 108.58 90.27
With the nearest neighbours (Å) after each atom.
Element x y z (fractional)
Nd 0.0000 0.0000 0.0000  8 Pt 3.02
P 0.2503 0.7497 0.5000  8 Pt 2.43-2.44
P 0.7497 0.2503 0.5000  8 Pt 2.43-2.44
Pt 0.1008 0.5954 0.6961  2 P 2.43, 2 Pt 2.69
Pt 0.1020 0.1020 0.6956  2 P 2.44, 2 Pt 2.69
Pt 0.4046 0.8992 0.3039  2 P 2.43, 2 Pt 2.69
Pt 0.4060 0.4060 0.3040  2 P 2.44, 2 Pt 2.69
Pt 0.5940 0.5940 0.6960  2 P 2.44, 2 Pt 2.69
Pt 0.5954 0.1008 0.6961  2 P 2.43, 2 Pt 2.69
Pt 0.8980 0.8980 0.3044  2 P 2.44, 2 Pt 2.69
Pt 0.8992 0.4046 0.3039  2 P 2.43, 2 Pt 2.69

Output
The value obtained for the formation energy is -0.286 eV per atom. The size of the total moment is 0.000 μB per atom.

Here is a relaxed NdP2Pt3 crystal from the Alexandria database. Energies are from PBE.

abc: 7.8718 7.8718 7.4802
angles: 116.08 116.08 30.49
With the nearest neighbours (Å) after each atom.
Element x y z (fractional)
Nd 0.1537 0.1537 0.0620  5 P 2.96-3.08, 5 Pt 3.09-3.26
Nd 0.8463 0.8463 0.9380  5 P 2.96-3.08, 5 Pt 3.09-3.26
P 0.1891 0.1891 0.7048  4 Pt 2.33-2.53
P 0.4901 0.4901 0.8367  1 P 2.32, 4 Pt 2.42-2.51
P 0.5099 0.5099 0.1633  1 P 2.32, 4 Pt 2.42-2.51
P 0.8109 0.8109 0.2952  4 Pt 2.33-2.53
Pt 0.0488 0.0488 0.3515  3 P 2.42-2.53
Pt 0.3145 0.3145 0.6077  2 P 2.33-2.43
Pt 0.3940 0.3940 0.3177  3 P 2.39-2.51
Pt 0.6060 0.6060 0.6823  3 P 2.39-2.51
Pt 0.6855 0.6855 0.3923  2 P 2.33-2.43
Pt 0.9512 0.9512 0.6485  3 P 2.42-2.53

Output
The value obtained for the formation energy is -0.847 eV per atom. The size of the total moment is 0.000 μB per atom.

Here is a relaxed NdPPt6 crystal from the Alexandria database. Energies are from PBE.

abc: 6.6730 6.6730 6.6730
angles: 49.49 49.49 49.49
With the nearest neighbours (Å) after each atom.
Element x y z (fractional)
Nd 0.0000 0.0000 0.0000  12 Pt 3.12
P 0.5000 0.5000 0.5000  6 Pt 2.27
Pt 0.0670 0.5845 0.5845  1 P 2.27
Pt 0.4155 0.4155 0.9330  1 P 2.27
Pt 0.4155 0.9330 0.4155  1 P 2.27
Pt 0.5845 0.0670 0.5845  1 P 2.27
Pt 0.5845 0.5845 0.0670  1 P 2.27
Pt 0.9330 0.4155 0.4155  1 P 2.27

Output
The value obtained for the formation energy is -0.544 eV per atom. The size of the total moment is 0.000 μB per atom.

Here is a relaxed Nd3P3Pt2 crystal from the Alexandria database. Energies are from PBE.

abc: 5.8291 5.8291 14.4226
angles: 90.00 90.00 137.34
With the nearest neighbours (Å) after each atom.
Element x y z (fractional)
Nd 0.0792 0.9208 0.6053  7 P 3.07-3.24, 4 Pt 3.08-3.33
Nd 0.0792 0.9208 0.8947  7 P 3.07-3.24, 4 Pt 3.08-3.33
Nd 0.3619 0.6381 0.7500  5 P 2.92-3.15, 4 Pt 3.13
Nd 0.6381 0.3619 0.2500  5 P 2.92-3.15, 4 Pt 3.13
Nd 0.9208 0.0792 0.1053  7 P 3.07-3.24, 4 Pt 3.08-3.33
Nd 0.9208 0.0792 0.3947  7 P 3.07-3.24, 4 Pt 3.08-3.33
P 0.3522 0.6478 0.2500  2 Pt 2.61
P 0.3677 0.6323 0.5478  3 Pt 2.43-2.72
P 0.3677 0.6323 0.9522  3 Pt 2.43-2.72
P 0.6323 0.3677 0.0478  3 Pt 2.43-2.72
P 0.6323 0.3677 0.4522  3 Pt 2.43-2.72
P 0.6478 0.3522 0.7500  2 Pt 2.61
Pt 0.2151 0.7849 0.1016  4 P 2.43-2.72
Pt 0.2151 0.7849 0.3984  4 P 2.43-2.72
Pt 0.7849 0.2151 0.6016  4 P 2.43-2.72
Pt 0.7849 0.2151 0.8984  4 P 2.43-2.72

Output
The value obtained for the formation energy is -1.177 eV per atom. The size of the total moment is 0.000 μB per atom.

Here is a relaxed NdP2Pt5 crystal from the Alexandria database. Energies are from PBE.

abc: 6.2493 6.2493 6.2493
angles: 141.10 112.27 80.95
With the nearest neighbours (Å) after each atom.
Element x y z (fractional)
Nd 0.0000 0.0000 0.0000  4 P 3.18, 10 Pt 3.24-3.48
P 0.2532 0.7532 0.5000  3 Pt 2.27-2.35
P 0.7468 0.2468 0.5000  3 Pt 2.27-2.35
Pt 0.1437 0.3511 0.7926  1 P 2.27
Pt 0.4416 0.6489 0.7926  1 P 2.27
Pt 0.5000 0.0000 0.5000  2 P 2.35
Pt 0.5584 0.3511 0.2074  1 P 2.27
Pt 0.8563 0.6489 0.2074  1 P 2.27

Output
The value obtained for the formation energy is -0.724 eV per atom. The size of the total moment is 0.000 μB per atom.

Here is a relaxed NdPPt4 crystal from the Alexandria database. Energies are from PBE.

abc: 7.9579 7.9579 6.7958
angles: 90.00 90.00 150.60
With the nearest neighbours (Å) after each atom.
Element x y z (fractional)
Nd 0.1037 0.8963 0.7500  9 Pt 2.92-3.10, 2 P 3.14
Nd 0.8963 0.1037 0.2500  9 Pt 2.92-3.10, 2 P 3.14
P 0.2401 0.7599 0.2500  3 Pt 2.30-2.37
P 0.7599 0.2401 0.7500  3 Pt 2.30-2.37
Pt 0.0859 0.9141 0.2500  1 P 2.37
Pt 0.3151 0.6849 0.5431  1 P 2.30
Pt 0.3151 0.6849 0.9569  1 P 2.30
Pt 0.5000 0.5000 0.0000  6 Pt 2.86-2.95, 4 Nd 3.08
Pt 0.5000 0.5000 0.5000  6 Pt 2.86-2.95, 4 Nd 3.08
Pt 0.6849 0.3151 0.0431  1 P 2.30
Pt 0.6849 0.3151 0.4569  1 P 2.30
Pt 0.9141 0.0859 0.7500  1 P 2.37

Output
The value obtained for the formation energy is -0.760 eV per atom. The size of the total moment is 0.000 μB per atom.

Here is a relaxed NdP3Pt6 crystal from the Alexandria database. Energies are from PBE.

abc: 6.3273 6.3273 6.3273
angles: 60.32 60.32 60.32
With the nearest neighbours (Å) after each atom.
Element x y z (fractional)
Nd 0.0000 0.0000 0.0000  6 Pt 2.95-3.27, 1 P 2.96
P 0.1916 0.1916 0.1916  6 Pt 2.47-2.51
P 0.4416 0.4416 0.4416  6 Pt 2.38-2.58
P 0.7082 0.7082 0.7082  6 Pt 2.30-2.43
Pt 0.0216 0.4172 0.4971  3 P 2.30-2.58
Pt 0.0975 0.5621 0.8001  3 P 2.38-2.51
Pt 0.4172 0.4971 0.0216  3 P 2.30-2.58
Pt 0.4971 0.0216 0.4172  3 P 2.30-2.58
Pt 0.5621 0.8001 0.0975  3 P 2.38-2.51
Pt 0.8001 0.0975 0.5621  3 P 2.38-2.51

Output
The value obtained for the formation energy is -0.631 eV per atom. The size of the total moment is 0.000 μB per atom.

Here is a relaxed NdP2Pt4 crystal from the Alexandria database. Energies are from PBE.

abc: 7.9261 7.9261 3.7673
angles: 90.00 90.00 90.00
With the nearest neighbours (Å) after each atom.
Element x y z (fractional)
Nd 0.0000 0.0000 0.0000  6 P 3.08-3.15, 8 Pt 3.16
Nd 0.5000 0.5000 0.5000  6 P 3.08-3.15, 8 Pt 3.16
P 0.2256 0.2256 0.5000  6 Pt 2.41-2.53
P 0.2744 0.7256 0.0000  6 Pt 2.41-2.53
P 0.7256 0.2744 0.0000  6 Pt 2.41-2.53
P 0.7744 0.7744 0.5000  6 Pt 2.41-2.53
Pt 0.0655 0.6873 0.5000  3 P 2.41-2.53
Pt 0.1873 0.4345 0.0000  3 P 2.41-2.53
Pt 0.3127 0.9345 0.5000  3 P 2.41-2.53
Pt 0.4345 0.1873 0.0000  3 P 2.41-2.53
Pt 0.5655 0.8127 0.0000  3 P 2.41-2.53
Pt 0.6873 0.0655 0.5000  3 P 2.41-2.53
Pt 0.8127 0.5655 0.0000  3 P 2.41-2.53
Pt 0.9345 0.3127 0.5000  3 P 2.41-2.53

Output
The value obtained for the formation energy is -0.758 eV per atom. The size of the total moment is 0.000 μB per atom.

Here is a relaxed RbNdP2Pt4 crystal from the Alexandria database. Energies are from PBE.

abc: 4.0655 4.0655 11.1727
angles: 90.00 90.00 90.00
With the nearest neighbours (Å) after each atom.
Element x y z (fractional)
Rb 0.0000 0.0000 0.0000  8 P 3.59, 8 Pt 3.90
Nd 0.0000 0.0000 0.5000  8 Pt 3.04
P 0.5000 0.5000 0.1926  4 Pt 2.35
P 0.5000 0.5000 0.8074  4 Pt 2.35
Pt 0.0000 0.5000 0.2974  2 P 2.35
Pt 0.0000 0.5000 0.7026  2 P 2.35
Pt 0.5000 0.0000 0.2974  2 P 2.35
Pt 0.5000 0.0000 0.7026  2 P 2.35

Output
The value obtained for the formation energy is -0.706 eV per atom. The size of the total moment is 0.000 μB per atom.